Record 1
This record from Alexandria describes a geometry-optimized U3Ti5Sb12 structure. The functional is PBE-GGA.

Cell: 14.620 14.620 14.620 Å, 109.47 109.47 109.47°
Each line ends with the local moment (μB).
Element x y z (fractional)
Ti 0.625 0.750 0.875  -0.25
Ti 0.375 0.250 0.125  -0.25
Ti 0.750 0.625 0.375  -0.25
Ti 0.125 0.375 0.250  -0.25
Ti 0.500 0.500 0.500  -0.06
Ti 0.250 0.875 0.125  -0.25
Ti 0.500 0.000 0.500  -0.06
Ti 0.000 0.500 0.500  -0.06
Ti 0.750 0.125 0.875  -0.25
Ti 0.125 0.750 0.375  -0.25
Ti 0.375 0.125 0.750  -0.25
Ti 0.500 0.000 0.000  -0.06
Ti 0.000 0.500 0.000  -0.06
Ti 0.875 0.625 0.750  -0.25
Ti 0.875 0.250 0.625  -0.25
Ti 0.250 0.375 0.625  -0.25
Ti 0.625 0.875 0.250  -0.25
Ti 0.500 0.500 0.000  -0.06
Ti 0.000 0.000 0.000  -0.06
Ti 0.000 0.000 0.500  -0.06
Sb 0.219 0.543 0.623  -0.03
Sb 0.043 0.420 0.824  -0.03
Sb 0.719 0.123 0.043  -0.03
Sb 0.596 0.719 0.676  -0.03
Sb 0.676 0.457 0.580  -0.03
Sb 0.781 0.324 0.904  -0.03
Sb 0.420 0.043 0.324  -0.03
Sb 0.377 0.957 0.781  -0.03
Sb 0.580 0.623 0.404  -0.03
Sb 0.457 0.676 0.080  -0.03
Sb 0.904 0.824 0.781  -0.03
Sb 0.623 0.580 0.904  -0.03
Sb 0.420 0.377 0.596  -0.03
Sb 0.824 0.904 0.281  -0.03
Sb 0.404 0.281 0.324  -0.03
Sb 0.096 0.920 0.377  -0.03
Sb 0.324 0.781 0.404  -0.03
Sb 0.781 0.457 0.377  -0.03
Sb 0.877 0.596 0.920  -0.03
Sb 0.676 0.219 0.596  -0.03
Sb 0.080 0.176 0.457  -0.03
Sb 0.123 0.404 0.080  -0.03
Sb 0.623 0.043 0.219  -0.03
Sb 0.904 0.080 0.623  -0.03
Sb 0.324 0.543 0.420  -0.03
Sb 0.543 0.219 0.123  -0.03
Sb 0.281 0.877 0.957  -0.03
Sb 0.877 0.281 0.457  -0.03
Sb 0.176 0.096 0.719  -0.03
Sb 0.957 0.580 0.176  -0.03
Sb 0.824 0.920 0.043  -0.03
Sb 0.920 0.096 0.877  -0.03
Sb 0.957 0.377 0.281  -0.03
Sb 0.080 0.904 0.123  -0.03
Sb 0.719 0.596 0.176  -0.03
Sb 0.920 0.824 0.543  -0.03
Sb 0.457 0.781 0.877  -0.03
Sb 0.176 0.080 0.957  -0.03
Sb 0.043 0.623 0.719  -0.03
Sb 0.096 0.176 0.219  -0.03
Sb 0.281 0.404 0.824  -0.03
Sb 0.377 0.420 0.096  -0.03
Sb 0.580 0.957 0.676  -0.03
Sb 0.543 0.324 0.920  -0.03
Sb 0.596 0.877 0.420  -0.03
Sb 0.123 0.719 0.543  -0.03
Sb 0.404 0.123 0.580  -0.03
Sb 0.219 0.676 0.096  -0.03
U 0.375 0.750 0.625  1.90
U 0.625 0.375 0.750  1.90
U 0.750 0.375 0.125  1.90
U 0.750 0.875 0.625  1.90
U 0.250 0.125 0.375  1.90
U 0.125 0.250 0.875  1.90
U 0.625 0.250 0.375  1.90
U 0.875 0.750 0.125  1.90
U 0.125 0.875 0.750  1.90
U 0.250 0.625 0.875  1.90
U 0.375 0.625 0.250  1.90
U 0.875 0.125 0.250  1.90

The calculation puts the electronic total energy at -6.034 eV per atom. Its symmetry is Ia-3d (230).

=====

Record 2
This record from Alexandria describes a geometry-optimized TiV4Sb structure. The functional is PBE-GGA.

Cell: 5.056 5.056 5.056 Å, 60.00 60.00 60.00°
Element x y z (fractional)
V 0.626 0.122 0.626
V 0.626 0.626 0.122
V 0.122 0.626 0.626
V 0.626 0.626 0.626
Ti 0.000 0.000 0.000
Sb 0.250 0.250 0.250

The calculation puts the electronic total energy at -8.056 eV per atom. Its symmetry is F-43m (216).

=====

Record 3
This record from Alexandria describes a geometry-optimized Ti6VSb structure. The functional is PBE-GGA.

Cell: 4.590 5.725 5.725 Å, 114.18 90.00 90.00°
Each line ends with the local moment (μB).
Element x y z (fractional)
Sb 0.000 0.087 0.913  0.01
Ti 0.500 0.881 0.119  -0.12
Ti 0.500 0.894 0.604  -0.05
Ti 0.000 0.132 0.426  -0.04
Ti 0.500 0.396 0.106  -0.05
Ti 0.000 0.574 0.868  -0.04
Ti 0.000 0.618 0.382  -0.09
V 0.500 0.418 0.582  0.48

The calculation puts the electronic total energy at -7.682 eV per atom. Its symmetry is Amm2 (38).

=====

Record 4
This record from Alexandria describes a geometry-optimized TiVSb structure. The functional is PBE-GGA.

Cell: 2.992 4.470 4.470 Å, 120.00 90.00 90.00°
Element x y z (fractional)
Ti 0.042 0.000 0.000
V 0.322 0.333 0.667
Sb 0.635 0.667 0.333

The calculation puts the electronic total energy at -7.020 eV per atom. Its symmetry is P3m1 (156).

=====

Record 5
This record from Alexandria describes a geometry-optimized Ti4VSb structure. The functional is PBE-GGA.

Cell: 4.860 4.860 9.388 Å, 105.01 105.00 90.00°
Element x y z (fractional)
Sb 0.750 0.750 0.000
Sb 0.250 0.250 0.000
Ti 0.163 0.662 0.825
Ti 0.337 0.838 0.175
Ti 0.076 0.076 0.653
Ti 0.924 0.924 0.347
Ti 0.663 0.162 0.825
Ti 0.837 0.338 0.175
Ti 0.576 0.576 0.653
Ti 0.424 0.424 0.347
V 0.500 0.000 0.500
V 0.000 0.500 0.500

The calculation puts the electronic total energy at -7.622 eV per atom. Its symmetry is P4/mmm (123).

=====

Record 6
This record from Alexandria describes a geometry-optimized Ti5V2Sb structure. The functional is PBE-GGA.

Cell: 6.619 6.619 7.839 Å, 114.97 114.97 90.00°
Each line ends with the local moment (μB).
Element x y z (fractional)
Ti 0.204 0.004 0.709  0.03
Ti 0.004 0.504 0.709  0.03
Ti 0.296 0.796 0.291  0.03
Ti 0.996 0.496 0.291  0.03
Ti 0.504 0.704 0.709  0.03
Ti 0.496 0.296 0.291  0.03
Ti 0.704 0.204 0.709  0.03
Ti 0.796 0.996 0.291  0.03
Ti 0.500 0.500 0.000  0.00
Ti 0.000 0.000 0.000  0.00
V 0.847 0.653 0.000  0.30
V 0.347 0.847 0.000  0.30
V 0.653 0.153 0.000  0.30
V 0.153 0.347 0.000  0.30
Sb 0.750 0.750 0.500  0.00
Sb 0.250 0.250 0.500  0.00

The calculation puts the electronic total energy at -7.754 eV per atom. Its symmetry is I4/mcm (140).

=====

Record 7
This record from Alexandria describes a geometry-optimized Ti2VSb structure. The functional is PBE-GGA.

Cell: 3.026 3.026 8.333 Å, 89.75 90.25 68.54°
Element x y z (fractional)
Ti 0.242 0.633 0.222
Ti 0.230 0.645 0.677
Sb 0.606 0.008 0.950
V 0.774 0.177 0.450

The calculation puts the electronic total energy at -7.290 eV per atom. Its symmetry is C2 (5).

=====

Record 8
This record from Alexandria describes a geometry-optimized Ti5VSb4 structure. The functional is PBE-GGA.

Cell: 4.957 9.514 8.456 Å, 90.00 90.00 90.00°
Element x y z (fractional)
Sb 0.268 0.188 0.000
Sb 0.014 0.500 0.815
Sb 0.732 0.312 0.500
Sb 0.014 0.500 0.185
Sb 0.986 0.000 0.685
Sb 0.732 0.688 0.500
Sb 0.268 0.812 0.000
Sb 0.986 0.000 0.315
V 0.717 0.000 0.000
V 0.283 0.500 0.500
Ti 0.488 0.000 0.500
Ti 0.248 0.734 0.668
Ti 0.752 0.234 0.832
Ti 0.248 0.266 0.668
Ti 0.752 0.766 0.168
Ti 0.752 0.766 0.832
Ti 0.248 0.266 0.332
Ti 0.752 0.234 0.168
Ti 0.512 0.500 0.000
Ti 0.248 0.734 0.332

The calculation puts the electronic total energy at -6.643 eV per atom. Its symmetry is Pmmn (59).

=====

Record 9
This record from Alexandria describes a geometry-optimized Ti2VSb structure. The functional is PBE-GGA.

Cell: 3.700 4.274 4.274 Å, 90.00 90.00 90.00°
Element x y z (fractional)
Sb 0.500 0.500 0.500
V 0.500 0.000 0.000
Ti 0.000 0.500 0.000
Ti 0.000 0.000 0.500

The calculation puts the electronic total energy at -7.513 eV per atom. Its symmetry is P4/mmm (123).

=====

Record 10
This record from Alexandria describes a geometry-optimized TiVSb structure. The functional is PBE-GGA.

Cell: 4.309 3.469 7.066 Å, 90.00 90.05 90.00°
Element x y z (fractional)
Sb 0.749 0.250 0.225
Sb 0.251 0.750 0.775
Ti 0.249 0.750 0.170
Ti 0.751 0.250 0.830
V 0.250 0.250 0.479
V 0.750 0.750 0.521

The calculation puts the electronic total energy at -7.371 eV per atom. Its symmetry is P2_1/m (11).

=====

Record 11
This record from Alexandria describes a geometry-optimized TiV2Sb structure. The functional is PBE-GGA.

Cell: 7.175 7.175 5.758 Å, 51.46 51.46 90.00°
Element x y z (fractional)
Sb 0.000 0.000 0.000
Sb 0.750 0.250 0.500
V 0.375 0.389 0.750
V 0.875 0.861 0.750
V 0.139 0.625 0.250
V 0.611 0.125 0.250
Ti 0.250 0.750 0.500
Ti 0.500 0.500 0.000

The calculation puts the electronic total energy at -7.043 eV per atom. Its symmetry is I-42d (122).

=====

Record 12
This record from Alexandria describes a geometry-optimized TiV2Sb structure. The functional is PBE-GGA.

Cell: 4.132 3.945 3.945 Å, 90.00 90.00 90.00°
Element x y z (fractional)
Ti 0.500 0.000 0.000
V 0.000 0.500 0.000
V 0.000 0.000 0.500
Sb 0.500 0.500 0.500

The calculation puts the electronic total energy at -7.703 eV per atom. Its symmetry is P4/mmm (123).

=====

Record 13
This record from Alexandria describes a geometry-optimized Ti5VSb2 structure. The functional is PBE-GGA.

Cell: 4.566 6.668 11.635 Å, 90.00 90.00 110.02°
Element x y z (fractional)
Ti 0.118 0.237 0.133
Ti 0.299 0.597 0.750
Ti 0.701 0.403 0.250
Ti 0.308 0.617 0.485
Ti 0.692 0.383 0.515
Ti 0.692 0.383 0.985
Ti 0.882 0.763 0.867
Ti 0.308 0.617 0.015
Ti 0.118 0.237 0.367
Ti 0.882 0.763 0.633
V 0.681 0.361 0.750
V 0.319 0.639 0.250
Sb 0.104 0.209 0.616
Sb 0.896 0.791 0.384
Sb 0.104 0.209 0.884
Sb 0.896 0.791 0.116

The calculation puts the electronic total energy at -6.992 eV per atom. Its symmetry is Cmcm (63).

=====

Record 14
This record from Alexandria describes a geometry-optimized TiV2Sb2 structure. The functional is PBE-GGA.

Cell: 7.393 7.393 3.333 Å, 90.00 90.00 90.00°
Each line ends with the local moment (μB).
Element x y z (fractional)
V 0.636 0.864 0.500  0.44
V 0.136 0.636 0.500  0.44
V 0.864 0.364 0.500  0.44
V 0.364 0.136 0.500  0.44
Sb 0.344 0.844 0.000  -0.02
Sb 0.156 0.344 0.000  -0.02
Sb 0.844 0.656 0.000  -0.02
Sb 0.656 0.156 0.000  -0.02
Ti 0.500 0.500 0.000  -0.12
Ti 0.000 0.000 0.000  -0.12

Its symmetry is P4/mbm (127). Its polymorph energy (0 for the lowest one) is 0.000 eV/atom.

=====

Record 15
This record from Alexandria describes a geometry-optimized TiV2Sb structure. The functional is PBE-GGA.

Cell: 3.359 3.359 5.748 Å, 90.00 90.00 90.00°
Element x y z (fractional)
Ti 0.500 0.500 0.500
V 0.000 0.000 0.262
V 0.000 0.000 0.738
Sb 0.500 0.500 0.000

The calculation puts the electronic total energy at -7.640 eV per atom. Its symmetry is P4/mmm (123).

=====

Record 16
This record from Alexandria describes a geometry-optimized TiV2SbW structure. The functional is PBE-GGA.

Cell: 4.734 4.856 4.734 Å, 90.00 90.00 90.00°
Each line ends with the local moment (μB).
Element x y z (fractional)
V 0.000 0.000 0.500  1.37
V 0.500 0.000 0.000  1.29
W 0.500 0.500 0.500  -1.35
Ti 0.000 0.500 0.000  0.05
Sb 0.000 0.000 0.000  -0.05

The calculation puts the electronic total energy at -6.882 eV per atom. Its symmetry is P4/mmm (123).

=====

Record 17
This record from Alexandria describes a geometry-optimized TiVSb2W structure. The functional is PBE-GGA.

Cell: 5.216 4.768 5.216 Å, 90.00 90.00 90.00°
Each line ends with the local moment (μB).
Element x y z (fractional)
Sb 0.000 0.000 0.500  -0.05
Sb 0.500 0.000 0.000  0.01
W 0.000 0.000 0.000  -0.10
Ti 0.500 0.500 0.500  1.78
V 0.000 0.500 0.000  2.04

The calculation puts the electronic total energy at -6.487 eV per atom. Its symmetry is P4/mmm (123).

=====

Record 18
This record from Alexandria describes a geometry-optimized TiSbW3 structure. The functional is PBE-GGA.

Cell: 4.847 4.847 4.847 Å, 90.00 90.00 90.00°
Each line ends with the local moment (μB).
Element x y z (fractional)
Ti 0.500 0.500 0.500  0.23
W 0.000 0.000 0.500  0.03
W 0.500 0.000 0.000  -0.02
W 0.000 0.500 0.000  0.01
Sb 0.000 0.000 0.000  0.00

Its symmetry is Pm-3m (221). Its polymorph energy (0 for the lowest one) is 0.509 eV/atom.

=====

Record 19
This record from Alexandria describes a geometry-optimized Ti6Sb2W structure. The functional is PBE-GGA.

Cell: 3.479 7.420 7.435 Å, 119.93 90.00 90.00°
Element x y z (fractional)
Ti 0.500 0.610 0.000
Ti 0.500 0.390 0.390
Ti 0.500 0.000 0.610
Ti 0.000 0.001 0.254
Ti 0.000 0.252 0.000
Ti 0.000 0.748 0.746
W 0.500 0.999 0.000
Sb 0.000 0.666 0.333
Sb 0.000 0.334 0.667

The calculation puts the electronic total energy at -7.860 eV per atom. Its symmetry is Amm2 (38).

=====

Record 20
This record from Alexandria describes a geometry-optimized Ti2Sb2W structure. The functional is PBE-GGA.

Cell: 7.181 7.181 3.698 Å, 90.00 90.00 90.00°
Element x y z (fractional)
Ti 0.651 0.849 0.500
Ti 0.349 0.151 0.500
Ti 0.151 0.651 0.500
Ti 0.849 0.349 0.500
Sb 0.150 0.350 0.000
Sb 0.650 0.150 0.000
Sb 0.350 0.850 0.000
Sb 0.850 0.650 0.000
W 0.500 0.500 0.000
W 0.000 0.000 0.000

The calculation puts the electronic total energy at -7.360 eV per atom. Its symmetry is P4/mbm (127).

=====

Record 21
This record from Alexandria describes a geometry-optimized Ti3SbW structure. The functional is PBE-GGA.

Cell: 4.793 4.793 4.793 Å, 90.00 90.00 90.00°
Each line ends with the local moment (μB).
Element x y z (fractional)
Sb 0.500 0.500 0.500  -0.03
Ti 0.500 0.000 0.000  0.59
Ti 0.000 0.500 0.000  0.37
Ti 0.000 0.000 0.500  0.27
W 0.000 0.000 0.000  -0.07

Its symmetry is Pm-3m (221). Its polymorph energy (0 for the lowest one) is 0.000 eV/atom.

=====

Quick rundown of DOS(E_F), same order as above: 97.69 11.81 12.60 2.21 13.88 19.94 4.17 23.97 3.55 4.47 11.64 5.90 16.95 10.99 4.51 8.28 8.05 6.18 9.99 9.68 5.57 states/eV per cell